--- i ---
{
  "formula": "Tm2Ge3Pd2",
  "functional": "PBE",
  "state": "optimized geometry",
  "lattice_angstrom": [[10.246, 0.000, 0.000], [0.000, 4.247, 0.000], [-2.613, 0.000, 6.107]],
  "species": ["Tm", "Tm", "Tm", "Tm", "Ge", "Ge", "Ge", "Ge", "Ge", "Ge", "Pd", "Pd", "Pd", "Pd"],
  "fractional_positions": [[0.149, 0.000, 0.282], [0.351, 0.500, 0.718], [0.649, 0.500, 0.282], [0.851, 0.000, 0.718], [0.000, 0.500, 0.500], [0.108, 0.500, 0.946], [0.392, 0.000, 0.054], [0.500, 0.000, 0.500], [0.608, 0.000, 0.946], [0.892, 0.500, 0.054], [0.146, 0.000, 0.735], [0.354, 0.500, 0.265], [0.646, 0.500, 0.735], [0.854, 0.000, 0.265]]
}

---

--- ii ---
{
  "formula": "Tm2Ge3Pd2",
  "functional": "PBE",
  "state": "optimized geometry",
  "lattice_angstrom": [[2.083, -9.098, 0.000], [2.083, 9.098, 0.000], [0.000, 0.000, 7.016]],
  "species": ["Tm", "Tm", "Tm", "Tm", "Ge", "Ge", "Ge", "Ge", "Ge", "Ge", "Pd", "Pd", "Pd", "Pd"],
  "fractional_positions": [[0.053, 0.947, 0.750], [0.156, 0.844, 0.250], [0.844, 0.156, 0.750], [0.947, 0.053, 0.250], [0.223, 0.777, 0.750], [0.437, 0.563, 0.566], [0.437, 0.563, 0.934], [0.563, 0.437, 0.066], [0.563, 0.437, 0.434], [0.777, 0.223, 0.250], [0.306, 0.694, 0.048], [0.306, 0.694, 0.452], [0.694, 0.306, 0.548], [0.694, 0.306, 0.952]]
}

---

Preferred: ii; penalty for the next structure: 112 meV/atom.

---

--- i ---
{
  "formula": "YTmGePd",
  "functional": "PBE",
  "state": "optimized geometry",
  "lattice_angstrom": [[7.049, 0.000, 0.000], [0.000, 7.049, 0.000], [0.000, 0.000, 7.049]],
  "species": ["Y", "Y", "Y", "Y", "Tm", "Tm", "Tm", "Tm", "Ge", "Ge", "Ge", "Ge", "Pd", "Pd", "Pd", "Pd"],
  "fractional_positions": [[0.000, 0.000, 0.000], [0.000, 0.500, 0.500], [0.500, 0.000, 0.500], [0.500, 0.500, 0.000], [0.000, 0.000, 0.500], [0.000, 0.500, 0.000], [0.500, 0.000, 0.000], [0.500, 0.500, 0.500], [0.250, 0.250, 0.250], [0.250, 0.750, 0.750], [0.750, 0.250, 0.750], [0.750, 0.750, 0.250], [0.250, 0.250, 0.750], [0.250, 0.750, 0.250], [0.750, 0.250, 0.250], [0.750, 0.750, 0.750]]
}

---

--- ii ---
{
  "formula": "YTmGePd",
  "functional": "PBE",
  "state": "optimized geometry",
  "lattice_angstrom": [[4.324, 0.000, 0.000], [0.000, 3.864, 0.000], [0.000, 0.000, 10.795]],
  "species": ["Y", "Y", "Tm", "Tm", "Ge", "Ge", "Pd", "Pd"],
  "fractional_positions": [[0.000, 0.000, 0.000], [0.000, 0.500, 0.500], [0.500, 0.000, 0.279], [0.500, 0.500, 0.779], [0.000, 0.000, 0.724], [0.000, 0.500, 0.224], [0.500, 0.000, 0.562], [0.500, 0.500, 0.062]]
}

---

Preferred: ii; penalty for the next structure: 78 meV/atom.

---

--- i ---
{
  "formula": "V2Ge2Pd",
  "functional": "PBE",
  "state": "optimized geometry",
  "lattice_angstrom": [[6.527, 0.000, 0.000], [0.000, 6.527, 0.000], [0.000, 0.000, 3.453]],
  "species": ["V", "V", "V", "V", "Ge", "Ge", "Ge", "Ge", "Pd", "Pd"],
  "fractional_positions": [[0.166, 0.334, 0.000], [0.334, 0.834, 0.000], [0.666, 0.166, 0.000], [0.834, 0.666, 0.000], [0.136, 0.636, 0.500], [0.364, 0.136, 0.500], [0.636, 0.864, 0.500], [0.864, 0.364, 0.500], [0.000, 0.000, 0.500], [0.500, 0.500, 0.500]]
}

---

--- ii ---
{
  "formula": "V2Ge2Pd",
  "functional": "PBE",
  "state": "optimized geometry",
  "lattice_angstrom": [[7.414, 0.000, 0.000], [0.000, 7.414, 0.000], [0.000, 0.000, 2.738]],
  "species": ["V", "V", "V", "V", "Ge", "Ge", "Ge", "Ge", "Pd", "Pd"],
  "fractional_positions": [[0.116, 0.384, 0.000], [0.384, 0.884, 0.000], [0.616, 0.116, 0.000], [0.884, 0.616, 0.000], [0.181, 0.681, 0.500], [0.319, 0.181, 0.500], [0.681, 0.819, 0.500], [0.819, 0.319, 0.500], [0.000, 0.000, 0.000], [0.500, 0.500, 0.000]]
}

---

Preferred: i; penalty for the next structure: 94 meV/atom.

---

--- i ---
{
  "formula": "VGePd6",
  "functional": "PBE",
  "state": "optimized geometry",
  "lattice_angstrom": [[4.992, 0.000, 0.000], [-0.371, 4.997, 0.000], [-0.362, -0.359, 4.989]],
  "species": ["V", "Ge", "Pd", "Pd", "Pd", "Pd", "Pd", "Pd"],
  "fractional_positions": [[0.000, 0.000, 0.000], [0.500, 0.500, 0.500], [0.065, 0.254, 0.542], [0.255, 0.541, 0.067], [0.462, 0.934, 0.745], [0.538, 0.066, 0.255], [0.745, 0.459, 0.933], [0.935, 0.746, 0.458]]
}

---

--- ii ---
{
  "formula": "VGePd6",
  "functional": "PBE",
  "state": "optimized geometry",
  "lattice_angstrom": [[0.000, 3.847, 5.592], [2.788, 0.000, 5.592], [2.788, 3.847, 0.000]],
  "species": ["V", "Ge", "Pd", "Pd", "Pd", "Pd", "Pd", "Pd"],
  "fractional_positions": [[0.000, 0.000, 0.000], [0.500, 0.500, 0.500], [0.121, 0.121, 0.379], [0.246, 0.246, 0.754], [0.379, 0.379, 0.121], [0.621, 0.621, 0.879], [0.754, 0.754, 0.246], [0.879, 0.879, 0.621]]
}

---

Preferred: ii; penalty for the next structure: 71 meV/atom.